PuPa3Rh: relaxed, PBE.

N(E_F) = 16.02 states/eV/cell
Energy relative to the elements = -172 meV per atom
Space-group type = P-1 (2)

The structure in POSCAR format:
```
PuPa3Rh
1.0
6.358 0.000 0.000
2.994 5.673 0.000
2.895 1.844 6.439
Pu Pa Rh
2 6 2
Direct
0.191 0.130 0.002
0.809 0.870 0.998
0.079 0.770 0.253
0.208 0.588 0.821
0.416 0.088 0.241
0.584 0.912 0.759
0.792 0.412 0.179
0.921 0.230 0.747
0.362 0.369 0.488
0.638 0.631 0.512
```



Sb2AsICl: relaxed, PBE.

Energy above the most stable polymorph in this dataset = 0 meV per atom
N(E_F) = 4.91 states/eV/cell
Space-group type = P4/mmm (123)

The structure in POSCAR format:
```
Sb2AsICl
1.0
5.502 0.000 0.000
0.000 5.502 0.000
0.000 0.000 5.577
Sb As I Cl
2 1 1 1
Direct
0.000 0.500 0.000
0.500 0.000 0.000
0.000 0.000 0.000
0.000 0.000 0.500
0.500 0.500 0.500
```



CeTiIn: relaxed, PBE.

Energy above the most stable polymorph in this dataset = 370 meV per atom
N(E_F) = 19.99 states/eV/cell
Energy relative to the elements = 255 meV per atom
Space-group type = Cmcm (63)

The structure in POSCAR format:
```
CeTiIn
1.0
2.975 0.000 0.000
0.000 32.256 0.000
0.000 0.000 2.943
Ce Ti In
4 4 4
Direct
0.000 0.210 0.250
0.000 0.790 0.750
0.500 0.290 0.750
0.500 0.710 0.250
0.000 0.466 0.250
0.000 0.534 0.750
0.500 0.034 0.750
0.500 0.966 0.250
0.000 0.115 0.750
0.000 0.885 0.250
0.500 0.385 0.250
0.500 0.615 0.750
```



Tb4NdSmDy2: relaxed, PBE.

N(E_F) = 10.69 states/eV/cell
Energy relative to the elements = 16 meV per atom
Space-group type = P2/m (10)

The structure in POSCAR format:
```
Tb4NdSmDy2
1.0
5.057 0.000 0.000
0.000 5.067 0.000
-0.010 0.000 10.110
Tb Nd Sm Dy
4 1 1 2
Direct
0.000 0.000 0.249
0.000 0.000 0.751
0.500 0.500 0.249
0.500 0.500 0.751
0.000 0.500 0.500
0.500 0.000 0.000
0.000 0.500 0.000
0.500 0.000 0.500
```



RbPSeS2: relaxed, PBE.

Energy above the most stable polymorph in this dataset = 0 meV per atom
N(E_F) = 2.91 states/eV/cell
Space-group type = P4/mmm (123)

The structure in POSCAR format:
```
RbPSeS2
1.0
5.095 0.000 0.000
0.000 5.095 0.000
0.000 0.000 4.927
Rb P Se S
1 1 1 2
Direct
0.000 0.000 0.000
0.500 0.500 0.000
0.500 0.500 0.500
0.000 0.500 0.500
0.500 0.000 0.500
```



ThNi5Au: relaxed, PBE.

N(E_F) = 38.07 states/eV/cell
Energy relative to the elements = -334 meV per atom
Space-group type = Pnma (62)

The structure in POSCAR format:
```
ThNi5Au
1.0
8.080 0.000 0.000
0.000 4.894 0.000
0.000 0.000 10.322
Th Ni Au
4 20 4
Direct
0.246 0.250 0.061
0.254 0.750 0.561
0.746 0.250 0.439
0.754 0.750 0.939
0.049 0.750 0.109
0.067 0.000 0.313
0.067 0.500 0.313
0.088 0.250 0.518
0.188 0.250 0.743
0.312 0.750 0.243
0.412 0.750 0.018
0.433 0.000 0.813
0.433 0.500 0.813
0.451 0.250 0.609
0.549 0.750 0.391
0.567 0.000 0.187
0.567 0.500 0.187
0.588 0.250 0.982
0.688 0.250 0.757
0.812 0.750 0.257
0.912 0.750 0.482
0.933 0.000 0.687
0.933 0.500 0.687
0.951 0.250 0.891
0.140 0.750 0.863
0.360 0.250 0.363
0.640 0.750 0.637
0.860 0.250 0.137
```



AlTe2AuI: relaxed, PBE.

Energy above the most stable polymorph in this dataset = 0 meV per atom
N(E_F) = 5.10 states/eV/cell
Space-group type = P4/mmm (123)

The structure in POSCAR format:
```
AlTe2AuI
1.0
5.482 0.000 0.000
0.000 5.482 0.000
0.000 0.000 5.712
Al Te Au I
1 2 1 1
Direct
0.000 0.000 0.000
0.000 0.500 0.500
0.500 0.000 0.500
0.500 0.500 0.500
0.500 0.500 0.000
```



Al2CoIr: relaxed, PBE.

Energy above the most stable polymorph in this dataset = 580 meV per atom
N(E_F) = 7.38 states/eV/cell
Energy relative to the elements = -204 meV per atom
Space-group type = R3m (160)

The structure in POSCAR format:
```
Al2CoIr
1.0
2.805 0.000 0.000
-1.403 2.429 0.000
0.000 0.000 24.666
Al Co Ir
6 3 3
Direct
0.000 0.000 0.000
0.000 0.000 0.240
0.333 0.667 0.667
0.333 0.667 0.907
0.667 0.333 0.333
0.667 0.333 0.574
0.000 0.000 0.497
0.333 0.667 0.164
0.667 0.333 0.830
0.000 0.000 0.748
0.333 0.667 0.414
0.667 0.333 0.081
```